1.
Here is an optimized crystal structure of CuPPb2 from Alexandria. Energies are from PBE.

Structure (POSCAR):
```
CuPPb2
1.0
6.3983 0.0000 0.0000
0.0000 6.3983 0.0000
3.1992 3.1992 5.8235
Pb P Cu
4 2 2
direct
0.6341 0.1250 0.2500
0.1159 0.6250 0.2500
0.3750 0.3659 0.7500
0.8750 0.8841 0.7500
0.5000 0.5000 0.0000
0.2500 0.7500 0.5000
0.0000 0.0000 0.0000
0.7500 0.2500 0.5000
```

Summary:
Final energy = -3.90 eV per atom
Space group = I-42d, No. 122
ΔH_f (0 K) = 328.0 meV per atom

2.
Here is an optimized crystal structure of CuPPb2 from Alexandria. Energies are from PBE.

Structure (POSCAR):
```
CuPPb2
1.0
3.6011 0.0000 0.0000
0.0000 3.6103 -0.0248
0.0000 3.5817 6.9216
Cu P Pb
1 1 2
direct
0.5000 0.2500 0.2500
0.5000 0.7500 0.7500
0.0000 0.0067 0.9989
0.0000 0.4933 0.5011
```

Summary:
Final energy = -3.86 eV per atom
Space group = P2/m, No. 10
ΔH_f (0 K) = 368.5 meV per atom

3.
Here is an optimized crystal structure of Cu2PPb2 from Alexandria. Energies are from PBE.

Structure (POSCAR):
```
Cu2PPb2
1.0
6.5973 0.0000 0.0000
0.0000 6.5973 0.0000
0.0000 0.0000 4.6422
Pb P Cu
4 2 4
direct
0.1739 0.6739 0.5000
0.6739 0.8261 0.5000
0.8261 0.3261 0.5000
0.3261 0.1739 0.5000
0.0000 0.0000 0.0000
0.5000 0.5000 0.0000
0.3627 0.8627 0.0000
0.8627 0.6373 0.0000
0.6373 0.1373 0.0000
0.1373 0.3627 0.0000
```

Summary:
Final energy = -3.96 eV per atom
Space group = P4/mbm, No. 127
ΔH_f (0 K) = 240.0 meV per atom

4.
Here is an optimized crystal structure of CuPPb3 from Alexandria. Energies are from PBE.

Structure (POSCAR):
```
CuPPb3
1.0
5.1841 0.0000 0.0000
0.0000 5.1841 0.0000
0.0000 0.0000 5.1841
Pb P Cu
3 1 1
direct
0.0000 0.5000 0.0000
0.0000 0.0000 0.5000
0.5000 0.0000 0.0000
0.5000 0.5000 0.5000
0.0000 0.0000 0.0000
```

Summary:
Final energy = -3.63 eV per atom
Space group = Pm-3m, No. 221
ΔH_f (0 K) = 492.8 meV per atom
Offset from the most stable computed form = 0 meV per atom

5.
Here is an optimized crystal structure of CuPPb2 from Alexandria. Energies are from PBE.

Structure (POSCAR):
```
CuPPb2
1.0
5.0863 0.0000 0.0000
2.5432 4.4049 0.0000
2.5432 1.4683 4.1530
Cu P Pb
1 1 2
direct
0.5000 0.5000 0.5000
0.7500 0.7500 0.7500
0.0000 0.0000 0.0000
0.2500 0.2500 0.2500
```

Summary:
Final energy = -3.66 eV per atom
Space group = F-43m, No. 216
ΔH_f (0 K) = 566.2 meV per atom

6.
Here is an optimized crystal structure of Cu4P2Pb from Alexandria. Energies are from PBE.

Structure (POSCAR):
```
Cu4P2Pb
1.0
3.8291 0.0000 1.0196
1.7788 3.3908 1.0196
-0.2436 -0.1473 8.6147
Cu P Pb
4 2 1
direct
0.4195 0.4195 0.7415
0.1404 0.1404 0.5788
0.5805 0.5805 0.2585
0.8596 0.8596 0.4212
0.2355 0.2355 0.2934
0.7645 0.7645 0.7066
0.0000 0.0000 0.0000
```

Summary:
Final energy = -4.44 eV per atom
Space group = R-3m, No. 166
ΔH_f (0 K) = -26.3 meV per atom

7.
Here is an optimized crystal structure of CuP5Pb3 from Alexandria. Energies are from PBE.

Structure (POSCAR):
```
CuP5Pb3
1.0
-2.7621 9.2354 -2.3161
-6.2983 -7.5392 -1.3332
-1.6444 0.6023 4.3628
Pb P Cu
6 10 2
direct
0.0000 0.3754 0.2500
0.6246 0.6246 0.2500
0.3754 0.0000 0.2500
0.0000 0.6246 0.7500
0.3754 0.3754 0.7500
0.6246 0.0000 0.7500
0.6667 0.3333 0.0000
0.3333 0.6667 0.5000
0.3333 0.6667 0.0000
0.6667 0.3333 0.5000
0.0000 0.7896 0.2500
0.2104 0.2104 0.2500
0.7896 0.0000 0.2500
0.0000 0.2104 0.7500
0.7896 0.7896 0.7500
0.2104 0.0000 0.7500
0.0000 0.0000 0.0000
0.0000 0.0000 0.5000
```

Summary:
Final energy = -4.33 eV per atom
Space group = P6_3/mcm, No. 193
ΔH_f (0 K) = 368.0 meV per atom

8.
Here is an optimized crystal structure of Cu2P2Pb5 from Alexandria. Energies are from PBE.

Structure (POSCAR):
```
Cu2P2Pb5
1.0
-0.9950 -2.4251 4.4293
4.0701 -5.5784 -2.1399
9.7231 5.1703 5.0149
Pb P Cu
10 4 4
direct
0.5000 0.2969 0.8832
0.5000 0.7031 0.1168
0.5000 0.2031 0.3832
0.5000 0.7969 0.6168
0.0000 0.6820 0.8009
0.0000 0.3180 0.1991
0.0000 0.8180 0.3009
0.0000 0.1820 0.6991
0.0000 0.0000 0.0000
0.0000 0.5000 0.5000
0.5000 0.4045 0.6572
0.5000 0.5955 0.3428
0.5000 0.0955 0.1572
0.5000 0.9045 0.8428
0.0000 0.3682 0.9378
0.0000 0.6318 0.0622
0.0000 0.1318 0.4378
0.0000 0.8682 0.5622
```

Summary:
Final energy = -3.92 eV per atom
Space group = Pbam, No. 55
ΔH_f (0 K) = 249.6 meV per atom